{
  "formula": "KLi4SnPd2",
  "functional": "PBE",
  "state": "relaxed",
  "lattice": [[4.7615, 0.0000, 0.0000], [0.0000, 4.7615, 0.0000], [0.0000, 0.0000, 6.5814]],
  "species": ["K", "Li", "Li", "Li", "Li", "Sn", "Pd", "Pd"],
  "fractional_positions": [[0.0000, 0.0000, 0.0000], [0.0000, 0.0000, 0.5000], [0.0000, 0.5000, 0.7126], [0.5000, 0.0000, 0.2874], [0.5000, 0.5000, 0.0000], [0.5000, 0.5000, 0.5000], [0.0000, 0.5000, 0.3046], [0.5000, 0.0000, 0.6954]],
  "crystal_system": "tetragonal"
}

***

{
  "formula": "KLiTe3Pd",
  "functional": "PBE",
  "state": "relaxed",
  "lattice": [[2.0566, -7.5665, 0.0000], [2.0566, 7.5665, 0.0000], [0.0000, 0.0000, 10.7120]],
  "species": ["K", "K", "Li", "Li", "Te", "Te", "Te", "Te", "Te", "Te", "Pd", "Pd"],
  "fractional_positions": [[0.2349, 0.7651, 0.7500], [0.7651, 0.2349, 0.2500], [0.4652, 0.5348, 0.2500], [0.5348, 0.4652, 0.7500], [0.0778, 0.9222, 0.2500], [0.3822, 0.6178, 0.0216], [0.3822, 0.6178, 0.4784], [0.6178, 0.3822, 0.5216], [0.6178, 0.3822, 0.9784], [0.9222, 0.0778, 0.7500], [0.0000, 0.0000, 0.0000], [0.0000, 0.0000, 0.5000]],
  "crystal_system": "orthorhombic"
}

***

{
  "formula": "KLiPdW",
  "functional": "PBE",
  "state": "relaxed",
  "lattice": [[0.0000, 3.4393, 3.4393], [3.4393, 0.0000, 3.4393], [3.4393, 3.4393, 0.0000]],
  "species": ["K", "Li", "Pd", "W"],
  "fractional_positions": [[0.0000, 0.0000, 0.0000], [0.7500, 0.7500, 0.7500], [0.2500, 0.2500, 0.2500], [0.5000, 0.5000, 0.5000]],
  "crystal_system": "cubic",
  "magmom_total_mub_per_atom": 0.95,
  "de_polymorph_ev_per_fu": 0.32
}

***

{
  "formula": "KLiPdW",
  "functional": "PBE",
  "state": "relaxed",
  "lattice": [[0.0000, 3.5051, 3.5051], [3.5051, 0.0000, 3.5051], [3.5051, 3.5051, 0.0000]],
  "species": ["K", "Li", "Pd", "W"],
  "fractional_positions": [[0.0000, 0.0000, 0.0000], [0.5000, 0.5000, 0.5000], [0.7500, 0.7500, 0.7500], [0.2500, 0.2500, 0.2500]],
  "crystal_system": "cubic",
  "magmom_total_mub_per_atom": 1.07,
  "de_polymorph_ev_per_fu": 1.44
}

***

{
  "formula": "KLiPdW",
  "functional": "PBE",
  "state": "relaxed",
  "lattice": [[0.0000, 3.2847, 3.2847], [3.2847, 0.0000, 3.2847], [3.2847, 3.2847, 0.0000]],
  "species": ["K", "Li", "Pd", "W"],
  "fractional_positions": [[0.0000, 0.0000, 0.0000], [0.2500, 0.2500, 0.2500], [0.5000, 0.5000, 0.5000], [0.7500, 0.7500, 0.7500]],
  "crystal_system": "cubic",
  "magmom_total_mub_per_atom": 0.00,
  "de_polymorph_ev_per_fu": 0.00
}

***

{
  "formula": "KLiPm",
  "functional": "PBE",
  "state": "relaxed",
  "lattice": [[0.0000, 3.9139, 3.9139], [3.9139, 0.0000, 3.9139], [3.9139, 3.9139, 0.0000]],
  "species": ["K", "Li", "Pm"],
  "fractional_positions": [[0.0000, 0.0000, 0.0000], [0.7500, 0.7500, 0.7500], [0.2500, 0.2500, 0.2500]],
  "crystal_system": "cubic",
  "magmom_total_mub_per_atom": 0.48
}

***

Number 1: DFT total energy -3.155 eV per atom. Number 2: DFT total energy -3.511 eV per atom. Number 3: DFT total energy -4.087 eV per atom. Number 4: DFT total energy -3.807 eV per atom. Number 5: DFT total energy -4.168 eV per atom. Number 6: DFT total energy -1.559 eV per atom.